Version a
## LiCdIn (PBEsol)

Data for a relaxed LiCdIn crystal.

a b c (Å): 3.0679 3.0679 12.7920
angles (deg): 90.00 90.00 90.00
Closest atoms and distances in Å follow each position.
Sites, in units of the cell vectors:
Li 0.0000 0.0000 0.0000  4 Cd 2.92, 4 In 3.00, 4 Li 3.07
Li 0.5000 0.5000 0.5000  4 Cd 2.92, 4 In 3.00, 4 Li 3.07
Cd 0.0000 0.0000 0.3468  4 Li 2.92, 4 Cd 3.07, 4 In 3.21
Cd 0.5000 0.5000 0.8468  4 Li 2.92, 4 Cd 3.07, 4 In 3.21
In 0.0000 0.0000 0.6618  4 Li 3.00, 4 In 3.07, 4 Cd 3.21
In 0.5000 0.5000 0.1618  4 Li 3.00, 4 In 3.07, 4 Cd 3.21

***

Version b
## LiCdIn (PBEsol)

Data for a relaxed LiCdIn crystal.

a b c (Å): 3.1705 4.3489 8.7243
angles (deg): 90.00 90.00 90.00
Closest atoms and distances in Å follow each position.
Sites, in units of the cell vectors:
Li 0.0000 0.0000 0.0000  5 In 2.90-3.06, 5 Cd 2.92-3.05, 2 Li 3.17
Li 0.5000 0.5000 0.5000  5 In 2.90-3.06, 5 Cd 2.92-3.05, 2 Li 3.17
Cd 0.0000 0.0000 0.3350  5 In 2.90-3.06, 5 Li 2.92-3.05, 2 Cd 3.17
Cd 0.5000 0.5000 0.8350  5 In 2.90-3.06, 5 Li 2.92-3.05, 2 Cd 3.17
In 0.0000 0.0000 0.6674  5 Cd 2.90-3.06, 5 Li 2.90-3.06, 2 In 3.17
In 0.5000 0.5000 0.1674  5 Cd 2.90-3.06, 5 Li 2.90-3.06, 2 In 3.17

***

Which structure wins on stability? version b wins.

***

Version a
## Sr2AgPt (PBEsol)

Data for a relaxed Sr2AgPt crystal.

a b c (Å): 4.4160 4.4160 10.2312
angles (deg): 90.00 90.00 90.00
Closest atoms and distances in Å follow each position.
Sites, in units of the cell vectors:
Sr 0.0000 0.0000 0.0000  4 Ag 3.12, 4 Pt 3.38, 4 Sr 3.38
Sr 0.0000 0.5000 0.2500  4 Pt 3.12, 4 Sr 3.38, 4 Ag 3.38
Sr 0.5000 0.0000 0.7500  4 Pt 3.12, 4 Sr 3.38, 4 Ag 3.38
Sr 0.5000 0.5000 0.5000  4 Ag 3.12, 4 Pt 3.38, 4 Sr 3.38
Ag 0.0000 0.0000 0.5000  8 Sr 3.12-3.38, 4 Pt 3.38
Ag 0.5000 0.5000 0.0000  8 Sr 3.12-3.38, 4 Pt 3.38
Pt 0.0000 0.5000 0.7500  8 Sr 3.12-3.38, 4 Ag 3.38
Pt 0.5000 0.0000 0.2500  8 Sr 3.12-3.38, 4 Ag 3.38

***

Version b
## Sr2AgPt (PBEsol)

Data for a relaxed Sr2AgPt crystal.

a b c (Å): 3.7022 3.7022 7.5380
angles (deg): 90.00 90.00 90.00
Closest atoms and distances in Å follow each position.
Sites, in units of the cell vectors:
Sr 0.0000 0.0000 0.2297  4 Pt 3.14, 4 Ag 3.32, 1 Sr 3.46
Sr 0.0000 0.0000 0.7703  4 Pt 3.14, 4 Ag 3.32, 1 Sr 3.46
Ag 0.5000 0.5000 0.5000  8 Sr 3.32, 4 Ag 3.70
Pt 0.5000 0.5000 0.0000  8 Sr 3.14

***

Which structure wins on stability? version b wins.